No. 1
# GaCu2Ni | the Open Quantum Materials Database | PBE | optimized geometry
data_GaCu2Ni
_space_group_name_H-M_alt 'F -4 3 m'
_space_group_IT_number 216
_space_group_name_Hall 'F -4 2 3'
_cell_length_a 5.7746
_cell_length_b 5.7746
_cell_length_c 5.7746
_cell_angle_alpha 90.00
_cell_angle_beta 90.00
_cell_angle_gamma 90.00
loop_
_atom_site_label
_atom_site_type_symbol
_atom_site_fract_x
_atom_site_fract_y
_atom_site_fract_z
Ga1 Ga 0.0000 0.0000 0.0000
Cu1 Cu 0.0000 0.0000 0.5000
Cu2 Cu 0.2500 0.2500 0.2500
Ni1 Ni 0.2500 0.2500 0.7500
# spin magnetization	0.01	μB/cell
# total energy	-4.17	eV per atom

=====

No. 2
# Ga6CuNi | the Open Quantum Materials Database | PBE | optimized geometry
data_Ga6CuNi
_space_group_name_H-M_alt 'P -6 m 2'
_space_group_IT_number 187
_space_group_name_Hall 'P -6 2'
_cell_length_a 5.9012
_cell_length_b 5.9012
_cell_length_c 4.2409
_cell_angle_alpha 90.00
_cell_angle_beta 90.00
_cell_angle_gamma 120.00
loop_
_atom_site_label
_atom_site_type_symbol
_atom_site_fract_x
_atom_site_fract_y
_atom_site_fract_z
Ga1 Ga 0.0119 0.5060 0.0000
Ga2 Ga 0.3149 0.1574 0.5000
Cu1 Cu 0.3333 0.6667 0.5000
Ni1 Ni 0.0000 0.0000 0.0000
# spin magnetization	0.01	μB/cell
# total energy	-3.39	eV per atom

=====

Q: What is the total energy in the second record?
A: -3.39 eV per atom